A relaxed BaLi2Se2 crystal. Source: the Alexandria database, functional PBE.

extended XYZ file:
```
10
Lattice="7.8383 0.0000 0.0000 0.0000 7.8383 0.0000 0.0000 0.0000 3.6920" Properties=species:S:1:pos:R:3 pbc="T T T"
Ba 0.0000 0.0000 0.0000
Ba 3.9192 3.9192 0.0000
Li 0.8799 3.0392 0.0000
Li 3.0392 6.9584 0.0000
Li 4.7991 0.8799 0.0000
Li 6.9584 4.7991 0.0000
Se 1.3949 5.3141 1.8460
Se 2.5242 1.3949 1.8460
Se 5.3141 6.4434 1.8460
Se 6.4434 2.5242 1.8460
```

- energy relative to the elements, uncorrected (eV/atom) = -1.19
- energy relative to the lowest polymorph listed for this composition (meV per atom) = 347
- D(E_F) (states/eV/cell) = 0.0


A relaxed TmLuPb2 crystal. Source: the Alexandria database, functional PBE.

extended XYZ file:
```
4
Lattice="5.0348 0.0000 0.0000 0.0000 5.0348 0.0000 0.0000 0.0000 4.3412" Properties=species:S:1:pos:R:3 pbc="T T T"
Tm 0.0000 0.0000 0.0000
Lu 2.5174 2.5174 0.0000
Pb 0.0000 2.5174 2.1706
Pb 2.5174 0.0000 2.1706
```

- energy of formation (meV/atom) = -345
- D(E_F) (states/eV/cell) = 3.3


A relaxed Rb2CdAuCl6 crystal. Source: the Alexandria database, functional PBE.

extended XYZ file:
```
10
Lattice="-3.7761 3.7761 5.1656 3.7761 -3.7761 5.1656 3.7761 3.7761 -5.1656" Properties=species:S:1:pos:R:3 pbc="T T T"
Rb 3.7761 0.0000 2.5828
Rb 0.0000 3.7761 2.5828
Cd 0.0000 0.0000 0.0000
Au 0.0000 0.0000 5.1656
Cl 1.8194 1.8194 0.0000
Cl 1.9567 -1.9567 5.1656
Cl 0.0000 0.0000 2.7850
Cl 0.0000 0.0000 7.5463
Cl -1.9567 1.9567 5.1656
Cl 1.9567 1.9567 5.1656
```

- energy relative to the elements, uncorrected (eV/atom) = -1.15
- D(E_F) (states/eV/cell) = 4.5


A relaxed NbSb3Ir crystal. Source: the Alexandria database, functional PBE.

extended XYZ file:
```
5
Lattice="5.2469 0.0000 0.0000 0.0000 5.2469 0.0000 0.0000 0.0000 5.2469" Properties=species:S:1:pos:R:3 pbc="T T T"
Nb 0.0000 0.0000 0.0000
Sb 0.0000 0.0000 2.6234
Sb 0.0000 2.6234 0.0000
Sb 2.6234 0.0000 0.0000
Ir 2.6234 2.6234 2.6234
```

- energy relative to the elements, uncorrected (eV/atom) = 1.16
- energy relative to the lowest polymorph listed for this composition (meV per atom) = 167
- D(E_F) (states/eV/cell) = 4.4


A relaxed Th6C3N2O crystal. Source: the Alexandria database, functional PBE.

extended XYZ file:
```
12
Lattice="8.0903 -1.8661 0.0000 8.0903 1.8661 0.0000 -1.6275 0.0000 7.2470" Properties=species:S:1:pos:R:3 pbc="T T T"
Th 15.7783 0.0000 1.7779
Th -1.2251 0.0000 5.4691
Th 4.6946 0.0000 3.0038
Th 3.8826 0.0000 6.6494
Th 10.6706 0.0000 0.5976
Th 9.8586 0.0000 4.2432
C 2.1513 0.0000 2.4244
C 8.0903 0.0000 0.0000
C 12.4019 0.0000 4.8226
N 1.3132 0.0000 6.0227
N 13.2400 0.0000 1.2243
O 7.2766 0.0000 3.6235
```

- energy relative to the elements, uncorrected (eV/atom) = -1.17
- D(E_F) (states/eV/cell) = 4.9


A relaxed Nd3YTh3 crystal. Source: the Alexandria database, functional PBE.

extended XYZ file:
```
14
Lattice="9.6260 0.0000 0.0000 -4.8130 8.3363 0.0000 0.0000 0.0000 5.9202" Properties=species:S:1:pos:R:3 pbc="T T T"
Nd -3.4301 6.6696 1.4801
Nd 0.7520 2.0310 1.4801
Nd 2.1349 0.3642 4.4402
Nd 2.6781 7.9721 1.4801
Nd 4.0610 6.3054 4.4402
Nd 8.2431 1.6668 4.4402
Y 0.0000 5.5576 1.4801
Y 4.8130 2.7788 4.4402
Th -1.9445 5.1188 4.4402
Th 1.3522 4.0929 4.4402
Th 4.2207 0.8754 1.4801
Th 0.5923 7.4609 4.4402
Th 3.4608 4.2434 1.4801
Th 6.7575 3.2175 1.4801
```

- energy of formation (meV/atom) = 69
- D(E_F) (states/eV/cell) = 21.9


A relaxed Pu2GeH crystal. Source: the Alexandria database, functional PBE.

extended XYZ file:
```
12
Lattice="5.4922 0.0000 0.0000 -2.7461 4.7564 0.0000 0.0000 0.0000 6.7097" Properties=species:S:1:pos:R:3 pbc="T T T"
Pu -0.4608 2.8692 2.3364
Pu -0.0309 3.7209 0.0999
Pu 0.4917 2.9228 4.5730
Pu 2.7152 1.0356 4.3732
Pu 2.2853 1.8872 2.1367
Pu 3.2378 1.8336 6.6098
Ge -2.2275 3.8582 4.4731
Ge 0.5186 0.8982 0.0000
Ge 4.4550 0.0000 2.2366
H -2.0709 3.5870 1.1183
H 0.6752 1.1694 3.3548
H 4.1419 0.0000 5.5914
```

- energy relative to the lowest polymorph listed for this composition (meV per atom) = 640
- D(E_F) (states/eV/cell) = 21.2


A relaxed ZnTePt3 crystal. Source: the Alexandria database, functional PBE.

extended XYZ file:
```
5
Lattice="4.6644 0.0000 0.0000 0.0000 4.6644 0.0000 0.0000 0.0000 4.6644" Properties=species:S:1:pos:R:3 pbc="T T T"
Zn 0.0000 0.0000 0.0000
Te 2.3322 2.3322 2.3322
Pt 0.0000 0.0000 2.3322
Pt 0.0000 2.3322 0.0000
Pt 2.3322 0.0000 0.0000
```

- energy relative to the elements, uncorrected (eV/atom) = 0.58
- energy relative to the lowest polymorph listed for this composition (meV per atom) = 0
- D(E_F) (states/eV/cell) = 3.2


A relaxed BiB2Te crystal. Source: the Alexandria database, functional PBE.

extended XYZ file:
```
16
Lattice="6.6038 0.0000 0.0000 0.0000 6.6038 0.0000 0.0000 0.0000 6.6038" Properties=species:S:1:pos:R:3 pbc="T T T"
Bi 0.0000 0.0000 0.0000
Bi 0.0000 3.3019 3.3019
Bi 3.3019 0.0000 3.3019
Bi 3.3019 3.3019 0.0000
B 1.6510 1.6510 1.6510
B 1.6510 1.6510 4.9529
B 1.6510 4.9529 1.6510
B 1.6510 4.9529 4.9529
B 4.9529 1.6510 1.6510
B 4.9529 1.6510 4.9529
B 4.9529 4.9529 1.6510
B 4.9529 4.9529 4.9529
Te 0.0000 0.0000 3.3019
Te 0.0000 3.3019 0.0000
Te 3.3019 0.0000 0.0000
Te 3.3019 3.3019 3.3019
```

- energy relative to the elements, uncorrected (eV/atom) = 1.64
- energy relative to the lowest polymorph listed for this composition (meV per atom) = 692
- D(E_F) (states/eV/cell) = 6.6


A relaxed P2Os crystal. Source: the Alexandria database, functional PBE.

extended XYZ file:
```
3
Lattice="4.1030 0.0000 0.0000 -2.0515 3.5533 0.0000 0.0000 0.0000 2.8152" Properties=species:S:1:pos:R:3 pbc="T T T"
P 0.0000 2.3689 0.0000
P 2.0515 1.1844 0.0000
Os 0.0000 0.0000 1.4076
```

- energy of formation (meV/atom) = 925
- D(E_F) (states/eV/cell) = 2.2


A relaxed LiCd6Bi crystal. Source: the Alexandria database, functional PBE.

extended XYZ file:
```
16
Lattice="5.9289 0.0000 0.0000 0.0000 10.4073 0.0000 -0.9192 0.0000 6.2771" Properties=species:S:1:pos:R:3 pbc="T T T"
Li 0.0000 0.0000 0.0000
Li 2.9644 5.2037 0.0000
Cd -0.5657 5.2037 4.7874
Cd 1.1002 2.5878 1.4839
Cd 1.1002 7.8195 1.4839
Cd 0.9450 2.6159 4.7932
Cd 0.9450 7.7914 4.7932
Cd 2.6110 0.0000 1.4896
Cd 2.3987 0.0000 4.7874
Cd 4.0647 2.6159 1.4839
Cd 4.0647 7.7914 1.4839
Cd 3.9095 2.5878 4.7932
Cd 3.9095 7.8195 4.7932
Cd 5.5754 5.2037 1.4896
Bi -0.4596 0.0000 3.1385
Bi 2.5049 5.2037 3.1385
```

- energy of formation (meV/atom) = -26
- D(E_F) (states/eV/cell) = 6.1